Record 1
ReMoW3: relaxed, GGA-PBE.

## Properties
- E_form: 0.18 eV/f.u.
- Offset from the most stable computed form: 0 meV per atom
- DOS(E_F): 6.3 states/eV per cell

Cell lengths 4.467, 5.496, 7.082 Å; angles 104.97, 108.34, 90.03 degrees
Space group P-1 (No. 2)
Unique sites:
Re (0.102, 0.157, 0.201) x2
Mo (0.099, 0.647, 0.200) x2
W (0.300, 0.449, 0.601) x2
W (0.301, 0.952, 0.600) x2
W (0.499, 0.246, 0.999) x2

Record 2
Re2Mo4W3: relaxed, GGA-PBE.

## Properties
- E_form: 0.32 eV/f.u.
- DOS(E_F): 7.7 states/eV per cell

Cell lengths 4.4719, 4.4719, 8.1983 Å; angles 90.00, 90.00, 120.00 degrees
Space group P-3m1 (No. 164)
Unique sites:
Re (0.3333, 0.6667, 0.2223) x2
Mo (0.0000, 0.0000, 0.3323) x2
Mo (0.3333, 0.6667, 0.8891) x2
W (0.0000, 0.0000, 0.0000) x1
W (0.3333, 0.6667, 0.5551) x2

Record 3
ReMo2W: relaxed, GGA-PBE.

## Properties
- E_form: 1.24 eV/f.u.
- Offset from the most stable computed form: 291 meV per atom
- DOS(E_F): 4.4 states/eV per cell

Cell lengths 2.783, 4.112, 5.550 Å; angles 90.00, 90.00, 90.00 degrees
Space group Pmmm (No. 47)
Unique sites:
Re (0.000, 0.000, 0.000) x1
Mo (0.500, 0.500, 0.245) x2
W (0.000, 0.000, 0.500) x1

- Which formula does entry 3 have?
  ReMo2W